[1]
A geometry-optimized LiGa4Pd2 structure. Source: Alexandria via LeMat-Bulk, functional PBE.

Cell and atoms, written as extended XYZ:
```
14
Lattice="5.4629 0.0000 0.0000 -2.1976 6.9259 0.0000 -1.0183 -3.7091 6.2549" Properties=species:S:1:pos:R:3 pbc="T T T"
Li 0.0000 0.0000 0.0000
Li -0.4856 1.7297 5.3501
Ga -1.3551 -1.0408 5.0664
Ga -0.8515 1.5131 2.4227
Ga -0.8239 4.8018 1.4972
Ga 0.9031 -0.4056 3.6028
Ga 1.3609 2.5048 1.0870
Ga 1.8020 -2.4127 5.5382
Ga 1.9232 5.1162 1.7168
Ga 2.3184 1.7394 3.8313
Pd -2.2366 4.1050 3.7392
Pd 0.4887 3.5321 3.3454
Pd 2.5958 0.1873 1.5470
Pd 2.0996 0.3013 5.9067
```

The value obtained for the magnetization is 0.000 μB per cell. The formation energy comes out at -0.43 eV per atom. The distance to the lowest polymorph of the same formula comes out at 0 meV/atom. Its symmetry is No. 1.

---

[2]
A geometry-optimized Pm2HgF8 structure. Source: Alexandria via LeMat-Bulk, functional PBE.

Cell and atoms, written as extended XYZ:
```
11
Lattice="7.5584 -1.8884 0.0000 7.5584 1.8884 0.0000 -1.9158 0.0000 5.3425" Properties=species:S:1:pos:R:3 pbc="T T T"
Pm 2.3212 0.0000 0.9914
Pm 10.8797 0.0000 4.3511
Hg 6.6005 0.0000 2.6712
F 0.0302 0.0000 1.6592
F 1.7143 0.0000 4.4216
F 3.7889 0.0000 2.8775
F 5.9949 0.0000 0.2562
F 7.2060 0.0000 5.0863
F 9.4121 0.0000 2.4650
F 11.4867 0.0000 0.9208
F 13.1708 0.0000 3.6833
```

The value obtained for the magnetization is 0.000 μB per cell. The distance to the lowest polymorph of the same formula comes out at 0 meV/atom. Its symmetry is No. 12. The uncorrected formation energy comes out at -3365.0 meV per atom.